# TaAlOs2, relaxed, DFT PBE
data_TaAlOs2
_chemical_formula_sum 'Ta1 Al1 Os2'
_symmetry_space_group_name_H-M 'P m m m'
_symmetry_Int_Tables_number 47
_symmetry_space_group_name_Hall '-P 2 2'
_cell_length_a 3.0788
_cell_length_b 4.2314
_cell_length_c 4.6937
_cell_angle_alpha 90.00
_cell_angle_beta 90.00
_cell_angle_gamma 90.00
loop_
_atom_site_label
_atom_site_fract_x
_atom_site_fract_y
_atom_site_fract_z
Ta1 0.0000 0.0000 0.0000
Al1 0.5000 0.0000 0.5000
Os1 0.0000 0.5000 0.5000
Os2 0.5000 0.5000 0.0000
# Density of states at the Fermi level in states/eV/f.u.: 2.5
# Excess energy over the best structure of this formula in the dataset in meV per atom: 512.4
# ΔH_f (0 K) in kJ per mole of atoms: -3.6
# VASP energy in eV/cell: -38.2
# Volume in Å³ per atom: 15.3